Y3Ge13Pt4 | PBE-GGA | relaxed

a = 9.1006 Å, b = 9.1006 Å, c = 9.1006 Å
α = 89.73°, β = 89.73°, γ = 89.73°
With the nearest neighbours (Å) after each atom.
Fractional coordinates of all 40 atoms:
Ge: 0.8715 0.7510 0.0350  2 Pt 2.59-2.60, 2 Ge 2.74-2.76
Ge: 0.0845 0.9027 0.2514  2 Pt 2.56, 2 Ge 2.65-2.71
Ge: 0.2557 0.2557 0.2557  6 Ge 2.55-2.76
Ge: 0.0790 0.6054 0.2481  2 Pt 2.55-2.59, 2 Ge 2.71-2.74
Pt: 0.0023 0.4989 0.9962  6 Ge 2.55-2.62
Pt: 0.4962 0.9989 0.5023  6 Ge 2.55-2.62
Ge: 0.3715 0.5350 0.2510  2 Pt 2.59-2.60, 2 Ge 2.74-2.76
Ge: 0.5845 0.7514 0.4027  2 Pt 2.56, 2 Ge 2.65-2.71
Ge: 0.7498 0.4949 0.8603  2 Ge 2.55-2.65, 2 Pt 2.58-2.62
Y: 0.9989 0.2515 0.7516  10 Ge 3.04-3.34, 4 Pt 3.17-3.25
Ge: 0.2481 0.0790 0.6054  2 Pt 2.55-2.59, 2 Ge 2.71-2.74
Ge: 0.1054 0.5790 0.7481  2 Pt 2.55-2.59, 2 Ge 2.71-2.74
Ge: 0.4949 0.8603 0.7498  2 Ge 2.55-2.65, 2 Pt 2.58-2.62
Ge: 0.2514 0.0845 0.9027  2 Pt 2.56, 2 Ge 2.65-2.71
Ge: 0.7557 0.7557 0.7557  6 Ge 2.55-2.76
Ge: 0.4027 0.5845 0.7514  2 Pt 2.56, 2 Ge 2.65-2.71
Ge: 0.0350 0.8715 0.7510  2 Pt 2.59-2.60, 2 Ge 2.74-2.76
Y: 0.7516 0.9989 0.2515  10 Ge 3.04-3.34, 4 Pt 3.17-3.25
Pt: 0.9962 0.0023 0.4989  6 Ge 2.55-2.62
Y: 0.2515 0.7516 0.9989  10 Ge 3.04-3.34, 4 Pt 3.17-3.25
Pt: 0.9989 0.5023 0.4962  6 Ge 2.55-2.62
Pt: 0.5023 0.4962 0.9989  6 Ge 2.55-2.62
Ge: 0.2498 0.3603 0.9949  2 Ge 2.55-2.65, 2 Pt 2.58-2.62
Ge: 0.5350 0.2510 0.3715  2 Pt 2.59-2.60, 2 Ge 2.74-2.76
Y: 0.2516 0.7515 0.4989  10 Ge 3.04-3.34, 4 Pt 3.17-3.25
Ge: 0.7514 0.4027 0.5845  2 Pt 2.56, 2 Ge 2.65-2.71
Ge: 0.8603 0.7498 0.4949  2 Ge 2.55-2.65, 2 Pt 2.58-2.62
Pt: 0.0017 0.0017 0.0017  6 Ge 2.56-2.59
Ge: 0.9027 0.2514 0.0845  2 Pt 2.56, 2 Ge 2.65-2.71
Pt: 0.5017 0.5017 0.5017  6 Ge 2.56-2.59
Ge: 0.9949 0.2498 0.3603  2 Ge 2.55-2.65, 2 Pt 2.58-2.62
Ge: 0.6054 0.2481 0.0790  2 Pt 2.55-2.59, 2 Ge 2.71-2.74
Pt: 0.4989 0.9962 0.0023  6 Ge 2.55-2.62
Ge: 0.2510 0.3715 0.5350  2 Pt 2.59-2.60, 2 Ge 2.74-2.76
Ge: 0.7481 0.1054 0.5790  2 Pt 2.55-2.59, 2 Ge 2.71-2.74
Y: 0.7515 0.4989 0.2516  10 Ge 3.04-3.34, 4 Pt 3.17-3.25
Ge: 0.7510 0.0350 0.8715  2 Pt 2.59-2.60, 2 Ge 2.74-2.76
Y: 0.4989 0.2516 0.7515  10 Ge 3.04-3.34, 4 Pt 3.17-3.25
Ge: 0.5790 0.7481 0.1054  2 Pt 2.55-2.59, 2 Ge 2.71-2.74
Ge: 0.3603 0.9949 0.2498  2 Ge 2.55-2.65, 2 Pt 2.58-2.62

For the total energy, the calculation gives -228.37 eV per cell. The magnetic moment is 0.01 μB per formula unit. Its calculated volume is 18.84 Å³/atom.

CoHgAsPd | PBE-GGA | relaxed

a = 4.5042 Å, b = 4.5042 Å, c = 4.5042 Å
α = 60.00°, β = 60.00°, γ = 60.00°
With the nearest neighbours (Å) after each atom.
Fractional coordinates of all 4 atoms:
As: 0.0000 0.0000 0.0000  4 Pd 2.76, 4 Co 2.76
Co: 0.7500 0.7500 0.7500  4 Hg 2.76, 4 As 2.76
Hg: 0.5000 0.5000 0.5000  4 Pd 2.76, 4 Co 2.76
Pd: 0.2500 0.2500 0.2500  4 As 2.76, 4 Hg 2.76

The value obtained for the energy above the most stable polymorph in this dataset is 0.0 meV/atom. For the total energy, the calculation gives -16.39 eV per cell. The magnetic moment is 1.17 μB per formula unit. Its calculated volume is 16.15 Å³/atom.

KHoCoSe3 | PBE-GGA | relaxed

a = 10.8609 Å, b = 4.0949 Å, c = 13.9182 Å
α = 90.00°, β = 90.00°, γ = 90.00°
With the nearest neighbours (Å) after each atom.
Fractional coordinates of all 24 atoms:
Co: 0.7427 0.5000 0.7137  4 Se 2.38-2.47
Co: 0.2427 0.5000 0.7863  4 Se 2.38-2.47
Ho: 0.0091 0.5000 0.2584  6 Se 2.83-2.86
Se: 0.2559 0.5000 0.1875  2 Co 2.47
Se: 0.4200 0.5000 0.8879  1 Co 2.39
Se: 0.9447 0.0000 0.1253  1 Co 2.38
Ho: 0.4909 0.0000 0.7584  6 Se 2.83-2.86
Co: 0.7573 0.0000 0.2137  4 Se 2.38-2.47
Se: 0.7559 0.5000 0.3125  2 Co 2.47
Se: 0.0553 0.5000 0.8747  1 Co 2.38
K: 0.2737 0.5000 0.5066  7 Se 3.26-3.48
Se: 0.2441 0.0000 0.6875  2 Co 2.47
Se: 0.5801 0.0000 0.1121  1 Co 2.39
Se: 0.7441 0.0000 0.8125  2 Co 2.47
Ho: 0.9909 0.0000 0.7416  6 Se 2.83-2.86
K: 0.7263 0.0000 0.4934  7 Se 3.26-3.48
Se: 0.0800 0.0000 0.3879  1 Co 2.39
Se: 0.4447 0.0000 0.3747  1 Co 2.38
Se: 0.5553 0.5000 0.6253  1 Co 2.38
K: 0.2263 0.0000 0.0066  7 Se 3.26-3.48
Ho: 0.5091 0.5000 0.2416  6 Se 2.83-2.86
Co: 0.2573 0.0000 0.2863  4 Se 2.38-2.47
K: 0.7737 0.5000 0.9934  7 Se 3.26-3.48
Se: 0.9200 0.5000 0.6121  1 Co 2.39

The value obtained for the energy above the most stable polymorph in this dataset is 26.9 meV/atom. For the total energy, the calculation gives -120.49 eV per cell. The magnetic moment is 2.99 μB per formula unit. Its calculated volume is 25.79 Å³/atom.

ThSi2W2 | PBE-GGA | relaxed

a = 6.2957 Å, b = 6.2957 Å, c = 6.2957 Å
α = 142.35°, β = 142.35°, γ = 54.30°
With the nearest neighbours (Å) after each atom.
Fractional coordinates of all 5 atoms:
Si: 0.6112 0.6112 0.0000  1 Si 2.49, 4 W 2.56
Th: 0.0000 0.0000 0.0000  8 Si 3.13, 8 W 3.46
W: 0.7500 0.2500 0.5000  4 Si 2.56
W: 0.2500 0.7500 0.5000  4 Si 2.56
Si: 0.3888 0.3888 0.0000  1 Si 2.49, 4 W 2.56

For the total energy, the calculation gives -45.99 eV per cell. The magnetic moment is 0.00 μB per formula unit. Its calculated volume is 18.50 Å³/atom.

Repeat the first record exactly.
Y3Ge13Pt4 | PBE-GGA | relaxed

a = 9.1006 Å, b = 9.1006 Å, c = 9.1006 Å
α = 89.73°, β = 89.73°, γ = 89.73°
With the nearest neighbours (Å) after each atom.
Fractional coordinates of all 40 atoms:
Ge: 0.8715 0.7510 0.0350  2 Pt 2.59-2.60, 2 Ge 2.74-2.76
Ge: 0.0845 0.9027 0.2514  2 Pt 2.56, 2 Ge 2.65-2.71
Ge: 0.2557 0.2557 0.2557  6 Ge 2.55-2.76
Ge: 0.0790 0.6054 0.2481  2 Pt 2.55-2.59, 2 Ge 2.71-2.74
Pt: 0.0023 0.4989 0.9962  6 Ge 2.55-2.62
Pt: 0.4962 0.9989 0.5023  6 Ge 2.55-2.62
Ge: 0.3715 0.5350 0.2510  2 Pt 2.59-2.60, 2 Ge 2.74-2.76
Ge: 0.5845 0.7514 0.4027  2 Pt 2.56, 2 Ge 2.65-2.71
Ge: 0.7498 0.4949 0.8603  2 Ge 2.55-2.65, 2 Pt 2.58-2.62
Y: 0.9989 0.2515 0.7516  10 Ge 3.04-3.34, 4 Pt 3.17-3.25
Ge: 0.2481 0.0790 0.6054  2 Pt 2.55-2.59, 2 Ge 2.71-2.74
Ge: 0.1054 0.5790 0.7481  2 Pt 2.55-2.59, 2 Ge 2.71-2.74
Ge: 0.4949 0.8603 0.7498  2 Ge 2.55-2.65, 2 Pt 2.58-2.62
Ge: 0.2514 0.0845 0.9027  2 Pt 2.56, 2 Ge 2.65-2.71
Ge: 0.7557 0.7557 0.7557  6 Ge 2.55-2.76
Ge: 0.4027 0.5845 0.7514  2 Pt 2.56, 2 Ge 2.65-2.71
Ge: 0.0350 0.8715 0.7510  2 Pt 2.59-2.60, 2 Ge 2.74-2.76
Y: 0.7516 0.9989 0.2515  10 Ge 3.04-3.34, 4 Pt 3.17-3.25
Pt: 0.9962 0.0023 0.4989  6 Ge 2.55-2.62
Y: 0.2515 0.7516 0.9989  10 Ge 3.04-3.34, 4 Pt 3.17-3.25
Pt: 0.9989 0.5023 0.4962  6 Ge 2.55-2.62
Pt: 0.5023 0.4962 0.9989  6 Ge 2.55-2.62
Ge: 0.2498 0.3603 0.9949  2 Ge 2.55-2.65, 2 Pt 2.58-2.62
Ge: 0.5350 0.2510 0.3715  2 Pt 2.59-2.60, 2 Ge 2.74-2.76
Y: 0.2516 0.7515 0.4989  10 Ge 3.04-3.34, 4 Pt 3.17-3.25
Ge: 0.7514 0.4027 0.5845  2 Pt 2.56, 2 Ge 2.65-2.71
Ge: 0.8603 0.7498 0.4949  2 Ge 2.55-2.65, 2 Pt 2.58-2.62
Pt: 0.0017 0.0017 0.0017  6 Ge 2.56-2.59
Ge: 0.9027 0.2514 0.0845  2 Pt 2.56, 2 Ge 2.65-2.71
Pt: 0.5017 0.5017 0.5017  6 Ge 2.56-2.59
Ge: 0.9949 0.2498 0.3603  2 Ge 2.55-2.65, 2 Pt 2.58-2.62
Ge: 0.6054 0.2481 0.0790  2 Pt 2.55-2.59, 2 Ge 2.71-2.74
Pt: 0.4989 0.9962 0.0023  6 Ge 2.55-2.62
Ge: 0.2510 0.3715 0.5350  2 Pt 2.59-2.60, 2 Ge 2.74-2.76
Ge: 0.7481 0.1054 0.5790  2 Pt 2.55-2.59, 2 Ge 2.71-2.74
Y: 0.7515 0.4989 0.2516  10 Ge 3.04-3.34, 4 Pt 3.17-3.25
Ge: 0.7510 0.0350 0.8715  2 Pt 2.59-2.60, 2 Ge 2.74-2.76
Y: 0.4989 0.2516 0.7515  10 Ge 3.04-3.34, 4 Pt 3.17-3.25
Ge: 0.5790 0.7481 0.1054  2 Pt 2.55-2.59, 2 Ge 2.71-2.74
Ge: 0.3603 0.9949 0.2498  2 Ge 2.55-2.65, 2 Pt 2.58-2.62

For the total energy, the calculation gives -228.37 eV per cell. The magnetic moment is 0.01 μB per formula unit. Its calculated volume is 18.84 Å³/atom.

Copy entry 3 word for word.
KHoCoSe3 | PBE-GGA | relaxed

a = 10.8609 Å, b = 4.0949 Å, c = 13.9182 Å
α = 90.00°, β = 90.00°, γ = 90.00°
With the nearest neighbours (Å) after each atom.
Fractional coordinates of all 24 atoms:
Co: 0.7427 0.5000 0.7137  4 Se 2.38-2.47
Co: 0.2427 0.5000 0.7863  4 Se 2.38-2.47
Ho: 0.0091 0.5000 0.2584  6 Se 2.83-2.86
Se: 0.2559 0.5000 0.1875  2 Co 2.47
Se: 0.4200 0.5000 0.8879  1 Co 2.39
Se: 0.9447 0.0000 0.1253  1 Co 2.38
Ho: 0.4909 0.0000 0.7584  6 Se 2.83-2.86
Co: 0.7573 0.0000 0.2137  4 Se 2.38-2.47
Se: 0.7559 0.5000 0.3125  2 Co 2.47
Se: 0.0553 0.5000 0.8747  1 Co 2.38
K: 0.2737 0.5000 0.5066  7 Se 3.26-3.48
Se: 0.2441 0.0000 0.6875  2 Co 2.47
Se: 0.5801 0.0000 0.1121  1 Co 2.39
Se: 0.7441 0.0000 0.8125  2 Co 2.47
Ho: 0.9909 0.0000 0.7416  6 Se 2.83-2.86
K: 0.7263 0.0000 0.4934  7 Se 3.26-3.48
Se: 0.0800 0.0000 0.3879  1 Co 2.39
Se: 0.4447 0.0000 0.3747  1 Co 2.38
Se: 0.5553 0.5000 0.6253  1 Co 2.38
K: 0.2263 0.0000 0.0066  7 Se 3.26-3.48
Ho: 0.5091 0.5000 0.2416  6 Se 2.83-2.86
Co: 0.2573 0.0000 0.2863  4 Se 2.38-2.47
K: 0.7737 0.5000 0.9934  7 Se 3.26-3.48
Se: 0.9200 0.5000 0.6121  1 Co 2.39

The value obtained for the energy above the most stable polymorph in this dataset is 26.9 meV/atom. For the total energy, the calculation gives -120.49 eV per cell. The magnetic moment is 2.99 μB per formula unit. Its calculated volume is 25.79 Å³/atom.

The lowest calculated volume belongs to which entry? CoHgAsPd

Which formula does entry 3 have? KHoCoSe3